# BAuN2 | the Alexandria database | PBE | optimized geometry
data_BAuN2
_chemical_formula_sum 'B4 Au4 N8'
_space_group_name_H-M_alt 'I -4 2 d'
_space_group_IT_number 122
_space_group_name_Hall 'I -4 2bw'
_cell_length_a 4.5389
_cell_length_b 4.5389
_cell_length_c 7.3433
_cell_angle_alpha 90.00
_cell_angle_beta 90.00
_cell_angle_gamma 90.00
loop_
_atom_site_label
_atom_site_type_symbol
_atom_site_fract_x
_atom_site_fract_y
_atom_site_fract_z
B1 B 0.0000 0.0000 0.0000
Au1 Au 0.0000 0.0000 0.5000
N1 N 0.1381 0.2500 0.1250
# magnetic moment	0.000	Bohr magnetons per cell
# energy relative to the elements, uncorrected	0.41	eV/atom


# Ho2Tm3Tl2 | the Alexandria database | PBE | optimized geometry
data_Ho2Tm3Tl2
_chemical_formula_sum 'Ho6 Tm9 Tl6'
_space_group_name_H-M_alt 'R -3 m'
_space_group_IT_number 166
_space_group_name_Hall '-R 3 2"'
_cell_length_a 5.3466
_cell_length_b 5.3466
_cell_length_c 23.8993
_cell_angle_alpha 90.00
_cell_angle_beta 90.00
_cell_angle_gamma 120.00
loop_
_atom_site_label
_atom_site_type_symbol
_atom_site_fract_x
_atom_site_fract_y
_atom_site_fract_z
Ho1 Ho 0.0000 0.0000 0.0741
Tm1 Tm 0.0000 0.0000 0.3467
Tm2 Tm 0.0000 0.0000 0.5000
Tl1 Tl 0.0000 0.0000 0.2165
# magnetic moment	0.000	Bohr magnetons per cell
# DFT formation energy	-0.191	eV per atom


# LiSc2Ni | the Alexandria database | PBE | optimized geometry
data_LiSc2Ni
_chemical_formula_sum 'Li1 Sc2 Ni1'
_space_group_name_H-M_alt 'P 4/m m m'
_space_group_IT_number 123
_space_group_name_Hall '-P 4 2'
_cell_length_a 3.2252
_cell_length_b 3.2252
_cell_length_c 7.2714
_cell_angle_alpha 90.00
_cell_angle_beta 90.00
_cell_angle_gamma 90.00
loop_
_atom_site_label
_atom_site_type_symbol
_atom_site_fract_x
_atom_site_fract_y
_atom_site_fract_z
Li1 Li 0.0000 0.0000 0.0000
Sc1 Sc 0.5000 0.5000 0.2943
Ni1 Ni 0.0000 0.0000 0.5000
# magnetic moment	0.000	Bohr magnetons per cell
# DFT formation energy	-0.188	eV per atom


# Na8Pb6Au | the Alexandria database | PBE | optimized geometry
data_Na8Pb6Au
_chemical_formula_sum 'Na24 Pb18 Au3'
_space_group_name_H-M_alt 'R -3'
_space_group_IT_number 148
_space_group_name_Hall '-R 3'
_cell_length_a 9.1895
_cell_length_b 9.1895
_cell_length_c 19.9023
_cell_angle_alpha 90.00
_cell_angle_beta 90.00
_cell_angle_gamma 120.00
loop_
_atom_site_label
_atom_site_type_symbol
_atom_site_fract_x
_atom_site_fract_y
_atom_site_fract_z
Na1 Na 0.0000 0.0000 0.1641
Na2 Na 0.9997 0.3308 0.6211
Pb1 Pb 0.0009 0.3167 0.4580
Au1 Au 0.0000 0.0000 0.5000
# magnetic moment	0.000	Bohr magnetons per cell
# DFT formation energy	-0.093	eV per atom


# CoAgCl2 | the Alexandria database | PBE | optimized geometry
data_CoAgCl2
_chemical_formula_sum 'Co2 Ag2 Cl4'
_space_group_name_H-M_alt 'I m m 2'
_space_group_IT_number 44
_cell_length_a 3.1495
_cell_length_b 3.9254
_cell_length_c 12.1287
_cell_angle_alpha 90.00
_cell_angle_beta 90.00
_cell_angle_gamma 90.00
loop_
_space_group_symop_operation_xyz
'x,y,z'
'-x,-y,z'
'-x,y,z'
'x,-y,z'
'x+1/2,y+1/2,z+1/2'
'-x+1/2,-y+1/2,z+1/2'
'-x+1/2,y+1/2,z+1/2'
'x+1/2,-y+1/2,z+1/2'
loop_
_atom_site_label
_atom_site_type_symbol
_atom_site_fract_x
_atom_site_fract_y
_atom_site_fract_z
Co1 Co 0.0000 0.0000 0.0000
Ag1 Ag 0.0000 0.5000 0.7137
Cl1 Cl 0.0000 0.0000 0.5490
Cl2 Cl 0.0000 0.5000 0.3372
# magnetic moment	4.194	Bohr magnetons per cell
# energy relative to the elements, uncorrected	0.01	eV/atom
# energy relative to the lowest polymorph listed for this composition	17.7	kJ/mol of atoms


# TbDyBeCu | the Alexandria database | PBE | optimized geometry
data_TbDyBeCu
_chemical_formula_sum 'Tb4 Dy4 Be4 Cu4'
_space_group_name_H-M_alt 'F -4 3 m'
_space_group_IT_number 216
_space_group_name_Hall 'F -4 2 3'
_cell_length_a 6.9027
_cell_length_b 6.9027
_cell_length_c 6.9027
_cell_angle_alpha 90.00
_cell_angle_beta 90.00
_cell_angle_gamma 90.00
loop_
_atom_site_label
_atom_site_type_symbol
_atom_site_fract_x
_atom_site_fract_y
_atom_site_fract_z
Tb1 Tb 0.0000 0.0000 0.0000
Dy1 Dy 0.0000 0.0000 0.5000
Be1 Be 0.2500 0.2500 0.2500
Cu1 Cu 0.2500 0.2500 0.7500
# magnetic moment	0.000	Bohr magnetons per cell
# DFT formation energy	-0.057	eV per atom


# Ta2MnH | the Alexandria database | PBE | optimized geometry
data_Ta2MnH
_chemical_formula_sum 'Ta8 Mn4 H4'
_space_group_name_H-M_alt 'I -4 2 d'
_space_group_IT_number 122
_space_group_name_Hall 'I -4 2bw'
_cell_length_a 5.8229
_cell_length_b 5.8229
_cell_length_c 6.1390
_cell_angle_alpha 90.00
_cell_angle_beta 90.00
_cell_angle_gamma 90.00
loop_
_atom_site_label
_atom_site_type_symbol
_atom_site_fract_x
_atom_site_fract_y
_atom_site_fract_z
Ta1 Ta 0.1861 0.7500 0.1250
Mn1 Mn 0.0000 0.0000 0.5000
H1 H 0.0000 0.0000 0.0000
# magnetic moment	0.000	Bohr magnetons per cell
# energy relative to the lowest polymorph listed for this composition	0.0	kJ/mol of atoms


# TlAgPb | the Alexandria database | PBE | optimized geometry
data_TlAgPb
_chemical_formula_sum 'Tl2 Ag2 Pb2'
_space_group_name_H-M_alt 'P 4/n m m'
_space_group_IT_number 129
_cell_length_a 4.4397
_cell_length_b 4.4397
_cell_length_c 8.1566
_cell_angle_alpha 90.00
_cell_angle_beta 90.00
_cell_angle_gamma 90.00
loop_
_space_group_symop_operation_xyz
'x,y,z'
'-x,-y,-z'
'-y+1/2,x,z'
'y+1/2,-x,-z'
'-x+1/2,-y+1/2,z'
'x+1/2,y+1/2,-z'
'y,-x+1/2,z'
'-y,x+1/2,-z'
'x+1/2,-y,-z'
'-x+1/2,y,z'
'-y,-x,-z'
'y,x,z'
'-x,y+1/2,-z'
'x,-y+1/2,z'
'y+1/2,x+1/2,-z'
'-y+1/2,-x+1/2,z'
loop_
_atom_site_label
_atom_site_type_symbol
_atom_site_fract_x
_atom_site_fract_y
_atom_site_fract_z
Tl1 Tl 0.2500 0.7500 0.0000
Ag1 Ag 0.2500 0.2500 0.2725
Pb1 Pb 0.2500 0.2500 0.6301
# magnetic moment	0.000	Bohr magnetons per cell
# DFT formation energy	0.128	eV per atom


Ρ per entry: 10.35 10.49 3.41 5.56 5.26 7.96 13.33 10.73 g/cm3